1.
The following is a GGA-PBE calculation of a geometry-optimized CsK2NaF structure, from Alexandria.

Lattice parameters (Å, degrees): 5.534 5.534 8.154 90.00 90.00 90.00
Fractional coordinates of all 5 atoms:
1 K 0.000 0.500 0.000
2 Cs 0.500 0.500 0.500
3 Na 0.000 0.000 0.500
4 F 0.000 0.000 0.000
5 K 0.500 0.000 0.000

Output
space group	P4/mmm (123)
offset from the most stable computed form	0.124	eV per atom
raw formation energy	-0.863	eV per atom

=====

2.
The following is a GGA-PBE calculation of a geometry-optimized CsKNaF3 structure, from Alexandria.

Lattice parameters (Å, degrees): 3.962 6.573 9.518 102.21 90.00 90.00
Each line ends with the local moment (μB).
Fractional coordinates of all 12 atoms:
1 F 0.250 0.804 0.465  0.02
2 F 0.750 0.034 0.167  0.04
3 Na 0.750 0.876 0.362  0.00
4 Cs 0.250 0.348 0.316  0.00
5 F 0.750 0.196 0.535  0.02
6 K 0.250 0.763 0.054  0.00
7 F 0.250 0.428 0.829  0.07
8 Na 0.250 0.124 0.638  0.00
9 K 0.750 0.237 0.946  0.00
10 F 0.750 0.572 0.171  0.07
11 F 0.250 0.966 0.833  0.04
12 Cs 0.750 0.652 0.684  0.00

Output
space group	P2_1/m (11)
raw formation energy	-2.669	eV per atom

=====

no.,theoretical density (g/cm3)
1,1.683
2,3.454